# PBE-GGA Na2NpPd2S4, relaxed
data_Na2NpPd2S4
_chemical_formula_sum 'Na4 Np2 Pd4 S8'
_cell_length_a 14.346
_cell_length_b 3.913
_cell_length_c 7.112
_cell_angle_alpha 90.00
_cell_angle_beta 112.50
_cell_angle_gamma 90.00
_symmetry_space_group_name_H-M 'C 1 2/m 1'
_symmetry_Int_Tables_number 12
loop_
_symmetry_equiv_pos_as_xyz
'x,y,z'
'-x,-y,-z'
'-x,y,-z'
'x,-y,z'
'x+1/2,y+1/2,z'
'-x+1/2,-y+1/2,-z'
'-x+1/2,y+1/2,-z'
'x+1/2,-y+1/2,z'
loop_
_atom_site_label
_atom_site_fract_x
_atom_site_fract_y
_atom_site_fract_z
_atom_site_occupancy
Na1 0.132 0.000 0.071 1
Np1 0.000 0.000 0.500 1
Pd1 0.188 0.500 0.524 1
S1 0.014 0.500 0.254 1
S2 0.197 0.000 0.719 1
# DFT total energy   -5.64 eV/atom
# Total magnetic moment   0.212 μB per atom
# Formation energy (no corrections)   -0.920 eV/atom

***

# PBE-GGA AlSiPt2, relaxed
data_AlSiPt2
_chemical_formula_sum 'Al2 Si2 Pt4'
_cell_length_a 8.567
_cell_length_b 3.400
_cell_length_c 4.217
_cell_angle_alpha 90.00
_cell_angle_beta 105.81
_cell_angle_gamma 90.00
_symmetry_space_group_name_H-M 'C 1 m 1'
_symmetry_Int_Tables_number 8
loop_
_symmetry_equiv_pos_as_xyz
'x,y,z'
'x,-y,z'
'x+1/2,y+1/2,z'
'x+1/2,-y+1/2,z'
loop_
_atom_site_label
_atom_site_fract_x
_atom_site_fract_y
_atom_site_fract_z
_atom_site_occupancy
Al1 0.000 0.000 0.000 1
Si1 0.268 0.500 0.358 1
Pt1 0.002 0.500 0.483 1
Pt2 0.263 0.000 0.865 1
# DFT total energy   -6.03 eV/atom
# Total magnetic moment   0.000 μB per atom
# Formation energy (no corrections)   -0.722 eV/atom

***

# PBE-GGA La3Pr4Hg, relaxed
data_La3Pr4Hg
_chemical_formula_sum 'La3 Pr4 Hg1'
_cell_length_a 3.765
_cell_length_b 3.765
_cell_length_c 19.512
_cell_angle_alpha 90.00
_cell_angle_beta 90.00
_cell_angle_gamma 90.00
_symmetry_space_group_name_H-M 'P 4/m m m'
_symmetry_Int_Tables_number 123
_symmetry_space_group_name_Hall '-P 4 2'
loop_
_atom_site_label
_atom_site_fract_x
_atom_site_fract_y
_atom_site_fract_z
_atom_site_occupancy
La1 0.000 0.000 0.000 1
La2 0.000 0.000 0.266 1
Pr1 0.500 0.500 0.133 1
Pr2 0.500 0.500 0.397 1
Hg1 0.000 0.000 0.500 1
# DFT total energy   -4.39 eV/atom
# Total magnetic moment   0.000 μB per atom
# Calculated formation energy   -113.4 meV per atom

***

# PBE-GGA GdDy2Be, relaxed
data_GdDy2Be
_chemical_formula_sum 'Gd1 Dy2 Be1'
_cell_length_a 3.466
_cell_length_b 3.466
_cell_length_c 8.620
_cell_angle_alpha 90.00
_cell_angle_beta 90.00
_cell_angle_gamma 90.00
_symmetry_space_group_name_H-M 'P 4/m m m'
_symmetry_Int_Tables_number 123
_symmetry_space_group_name_Hall '-P 4 2'
loop_
_atom_site_label
_atom_site_fract_x
_atom_site_fract_y
_atom_site_fract_z
_atom_site_occupancy
Gd1 0.000 0.000 0.000 1
Dy1 0.500 0.500 0.309 1
Be1 0.000 0.000 0.500 1
# DFT total energy   -6.68 eV/atom
# Total magnetic moment   1.906 μB per atom
# Calculated formation energy   73.6 meV per atom

***

# PBE-GGA Li3Tb3HfSe8, relaxed
data_Li3Tb3HfSe8
_chemical_formula_sum 'Li9 Tb9 Hf3 Se24'
_cell_length_a 8.0884
_cell_length_b 8.0884
_cell_length_c 19.5025
_cell_angle_alpha 90.00
_cell_angle_beta 90.00
_cell_angle_gamma 120.00
_symmetry_space_group_name_H-M 'R -3 m'
_symmetry_Int_Tables_number 166
_symmetry_space_group_name_Hall '-R 3 2"'
loop_
_atom_site_label
_atom_site_fract_x
_atom_site_fract_y
_atom_site_fract_z
_atom_site_occupancy
Li1 0.0000 0.5000 0.0000 1
Tb1 0.0000 0.5000 0.5000 1
Hf1 0.0000 0.0000 0.5000 1
Se1 0.0000 0.0000 0.2518 1
Se2 0.0188 0.5094 0.2479 1
# DFT total energy   -5.45 eV/atom
# Total magnetic moment   0.000 μB per atom
# Formation energy (no corrections)   -1.623 eV/atom

***

# PBE-GGA CaZn6Au3, relaxed
data_CaZn6Au3
_chemical_formula_sum 'Ca2 Zn12 Au6'
_cell_length_a 8.680
_cell_length_b 4.063
_cell_length_c 10.903
_cell_angle_alpha 90.00
_cell_angle_beta 104.87
_cell_angle_gamma 90.00
_symmetry_space_group_name_H-M 'P 1 21/m 1'
_symmetry_Int_Tables_number 11
loop_
_symmetry_equiv_pos_as_xyz
'x,y,z'
'-x,-y,-z'
'-x,y+1/2,-z'
'x,-y+1/2,z'
loop_
_atom_site_label
_atom_site_fract_x
_atom_site_fract_y
_atom_site_fract_z
_atom_site_occupancy
Ca1 0.002 0.250 0.234 1
Zn1 0.093 0.750 0.472 1
Zn2 0.219 0.250 0.663 1
Zn3 0.230 0.250 0.936 1
Zn4 0.331 0.250 0.203 1
Zn5 0.416 0.750 0.589 1
Zn6 0.440 0.750 0.077 1
Au1 0.124 0.750 0.069 1
Au2 0.297 0.250 0.440 1
Au3 0.362 0.750 0.819 1
# DFT total energy   -2.19 eV/atom
# Total magnetic moment   0.000 μB per atom
# Calculated formation energy   -243.3 meV per atom

***

# PBE-GGA CsSm2As2S6, relaxed
data_CsSm2As2S6
_chemical_formula_sum 'Cs1 Sm2 As2 S6'
_cell_length_a 7.577
_cell_length_b 7.841
_cell_length_c 8.083
_cell_angle_alpha 89.38
_cell_angle_beta 63.24
_cell_angle_gamma 61.46
_symmetry_space_group_name_H-M 'P -1'
_symmetry_Int_Tables_number 2
loop_
_symmetry_equiv_pos_as_xyz
'x,y,z'
'-x,-y,-z'
loop_
_atom_site_label
_atom_site_fract_x
_atom_site_fract_y
_atom_site_fract_z
_atom_site_occupancy
Cs1 0.000 0.000 0.000 1
Sm1 0.369 0.309 0.966 1
As1 0.000 0.345 0.559 1
S1 0.090 0.368 0.796 1
S2 0.274 0.083 0.219 1
S3 0.405 0.490 0.243 1
# DFT total energy   -5.05 eV/atom
# Total magnetic moment   0.000 μB per atom
# Formation energy (no corrections)   -1.018 eV/atom

***

# PBE-GGA LiYSe2, relaxed
data_LiYSe2
_chemical_formula_sum 'Li2 Y2 Se4'
_cell_length_a 7.131
_cell_length_b 7.113
_cell_length_c 3.619
_cell_angle_alpha 90.00
_cell_angle_beta 103.49
_cell_angle_gamma 90.00
_symmetry_space_group_name_H-M 'C 1 2/m 1'
_symmetry_Int_Tables_number 12
loop_
_symmetry_equiv_pos_as_xyz
'x,y,z'
'-x,-y,-z'
'-x,y,-z'
'x,-y,z'
'x+1/2,y+1/2,z'
'-x+1/2,-y+1/2,-z'
'-x+1/2,y+1/2,-z'
'x+1/2,-y+1/2,z'
loop_
_atom_site_label
_atom_site_fract_x
_atom_site_fract_y
_atom_site_fract_z
_atom_site_occupancy
Li1 0.000 0.000 0.000 1
Y1 0.000 0.500 0.000 1
Se1 0.250 0.250 0.500 1
# DFT total energy   -5.17 eV/atom
# Total magnetic moment   0.000 μB per atom
# Formation energy (no corrections)   -1.333 eV/atom

***

# PBE-GGA CsRbZnAs, relaxed
data_CsRbZnAs
_chemical_formula_sum 'Cs1 Rb1 Zn1 As1'
_cell_length_a 5.837
_cell_length_b 5.171
_cell_length_c 7.095
_cell_angle_alpha 90.00
_cell_angle_beta 90.17
_cell_angle_gamma 90.00
_symmetry_space_group_name_H-M 'P 1 m 1'
_symmetry_Int_Tables_number 6
loop_
_symmetry_equiv_pos_as_xyz
'x,y,z'
'x,-y,z'
loop_
_atom_site_label
_atom_site_fract_x
_atom_site_fract_y
_atom_site_fract_z
_atom_site_occupancy
Cs1 0.000 0.000 0.000 1
Rb1 0.502 0.000 0.434 1
Zn1 0.498 0.500 0.803 1
As1 0.500 0.500 0.128 1
# DFT total energy   -1.96 eV/atom
# Total magnetic moment   0.000 μB per atom
# Calculated formation energy   -27.0 meV per atom
# Polymorph energy (0 for the lowest one)   1.02 eV per formula unit

***

# PBE-GGA LiTiC2, relaxed
data_LiTiC2
_chemical_formula_sum 'Li4 Ti4 C8'
_cell_length_a 5.242
_cell_length_b 5.242
_cell_length_c 5.242
_cell_angle_alpha 90.00
_cell_angle_beta 90.00
_cell_angle_gamma 90.00
_symmetry_space_group_name_H-M 'F m -3 m'
_symmetry_Int_Tables_number 225
_symmetry_space_group_name_Hall '-F 4 2 3'
loop_
_atom_site_label
_atom_site_fract_x
_atom_site_fract_y
_atom_site_fract_z
_atom_site_occupancy
Li1 0.000 0.000 0.000 1
Ti1 0.000 0.000 0.500 1
C1 0.250 0.250 0.250 1
# DFT total energy   -6.29 eV/atom
# Total magnetic moment   0.000 μB per atom
# Calculated formation energy   775.3 meV per atom
# Polymorph energy (0 for the lowest one)   0.00 eV per formula unit

***

# PBE-GGA SmHgS2, relaxed
data_SmHgS2
_chemical_formula_sum 'Sm3 Hg3 S6'
_cell_length_a 4.1185
_cell_length_b 4.1185
_cell_length_c 24.6307
_cell_angle_alpha 90.00
_cell_angle_beta 90.00
_cell_angle_gamma 120.00
_symmetry_space_group_name_H-M 'R -3 m'
_symmetry_Int_Tables_number 166
_symmetry_space_group_name_Hall '-R 3 2"'
loop_
_atom_site_label
_atom_site_fract_x
_atom_site_fract_y
_atom_site_fract_z
_atom_site_occupancy
Sm1 0.0000 0.0000 0.0000 1
Hg1 0.0000 0.0000 0.5000 1
S1 0.0000 0.0000 0.3939 1
# DFT total energy   -4.44 eV/atom
# Total magnetic moment   0.000 μB per atom
# Formation energy (no corrections)   -1.125 eV/atom
# Polymorph energy (0 for the lowest one)   0.00 eV per formula unit

***

# PBE-GGA AuCl2, relaxed
data_AuCl2
_chemical_formula_sum 'Au4 Cl8'
_cell_length_a 5.020
_cell_length_b 5.909
_cell_length_c 14.026
_cell_angle_alpha 79.12
_cell_angle_beta 84.28
_cell_angle_gamma 88.07
_symmetry_space_group_name_H-M 'P -1'
_symmetry_Int_Tables_number 2
loop_
_symmetry_equiv_pos_as_xyz
'x,y,z'
'-x,-y,-z'
loop_
_atom_site_label
_atom_site_fract_x
_atom_site_fract_y
_atom_site_fract_z
_atom_site_occupancy
Au1 0.000 0.000 0.000 1
Au2 0.232 0.766 0.765 1
Au3 0.500 0.000 0.500 1
Cl1 0.099 0.240 0.107 1
Cl2 0.171 0.197 0.581 1
Cl3 0.309 0.203 0.884 1
Cl4 0.445 0.277 0.359 1
# DFT total energy   -2.55 eV/atom
# Total magnetic moment   0.000 μB per atom
# Formation energy (no corrections)   -0.223 eV/atom